The following is a DFT calculation (PBE-GGA) of a geometry-optimized KPAuCl2 structure. Values from VASP.

Output
Space group ... No. 123
Fermi-level density of states ... 2.68 states/eV per cell
Offset from the most stable computed form ... 0.999 eV per atom
Formation energy without anion corrections ... 0.64 eV per atom

Geometry as Quantum ESPRESSO input:
```
&SYSTEM
  ibrav = 0, nat = 5, ntyp = 4
/
ATOMIC_SPECIES
P 30.97 P.upf
Cl 35.45 Cl.upf
K 39.10 K.upf
Au 196.97 Au.upf
ATOMIC_POSITIONS angstrom
P -2.5673 0.6875 1.4691
Cl -0.9961 1.3007 -2.3493
K 0.0000 0.0000 0.0000
Au -4.7244 -0.4798 -1.7543
Cl -1.1611 -2.4680 -0.8741
CELL_PARAMETERS angstrom
-1.9921 2.6014 -4.6986
-2.3222 -4.9359 -1.7483
-5.1345 1.3749 2.9382
```